Entry 1:
Below is KScBe2 at its PBEsol-relaxed geometry, with properties calculated at the SCAN level.

The density of states at the Fermi level is 2.496 states/eV/f.u. For the excess energy over the best structure of this formula in the dataset, the calculation gives 0.0 meV/atom. Its energy of formation is 3.1 eV/f.u. The theoretical density comes out at 2186 kg/m³.

```
data_KScBe2
_cell_length_a 5.004
_cell_length_b 5.004
_cell_length_c 3.096
_cell_angle_alpha 90.00
_cell_angle_beta 90.00
_cell_angle_gamma 90.00
_space_group_name_H-M_alt 'P 4/m m m'
_space_group_IT_number 123
_space_group_name_Hall '-P 4 2'
loop_
_atom_site_label
_atom_site_type_symbol
_atom_site_fract_x
_atom_site_fract_y
_atom_site_fract_z
K1 K 0.000 0.000 0.000
Sc1 Sc 0.500 0.500 0.000
Be1 Be 0.000 0.500 0.500
```


Entry 2:
Below is LaZrRh2 at its PBEsol-relaxed geometry, with properties calculated at the SCAN level.

The density of states at the Fermi level is 2.280 states/eV/f.u. Its energy of formation is -2.2 eV/f.u. The theoretical density comes out at 8717 kg/m³.

```
data_LaZrRh2
_cell_length_a 3.826
_cell_length_b 3.826
_cell_length_c 5.673
_cell_angle_alpha 90.00
_cell_angle_beta 90.00
_cell_angle_gamma 90.00
_space_group_name_H-M_alt 'P 4 m m'
_space_group_IT_number 99
loop_
_space_group_symop_operation_xyz
'x,y,z'
'-y,x,z'
'-x,-y,z'
'y,-x,z'
'-x,y,z'
'y,x,z'
'x,-y,z'
'-y,-x,z'
loop_
_atom_site_label
_atom_site_type_symbol
_atom_site_fract_x
_atom_site_fract_y
_atom_site_fract_z
La1 La 0.000 0.000 0.000
Zr1 Zr 0.500 0.500 0.573
Rh1 Rh 0.000 0.000 0.498
Rh2 Rh 0.500 0.500 0.088
```


Entry 3:
Below is EuSnF7 at its PBEsol-relaxed geometry, with properties calculated at the SCAN level.

For the excess energy over the best structure of this formula in the dataset, the calculation gives 0.0 meV/atom. The value obtained for the formation energy from raw total energies is -3.1425 eV per atom. The theoretical density comes out at 4897 kg/m³.

```
data_EuSnF7
_cell_length_a 9.037
_cell_length_b 5.648
_cell_length_c 12.139
_cell_angle_alpha 90.00
_cell_angle_beta 117.90
_cell_angle_gamma 90.00
_space_group_name_H-M_alt 'P 1 21/c 1'
_space_group_IT_number 14
loop_
_space_group_symop_operation_xyz
'x,y,z'
'-x,-y,-z'
'-x,y+1/2,-z+1/2'
'x,-y+1/2,z+1/2'
loop_
_atom_site_label
_atom_site_type_symbol
_atom_site_fract_x
_atom_site_fract_y
_atom_site_fract_z
Eu1 Eu 0.188 0.242 0.265
Sn1 Sn 0.273 0.744 0.043
F1 F 0.026 0.741 0.946
F2 F 0.033 0.586 0.734
F3 F 0.255 0.549 0.173
F4 F 0.270 0.025 0.140
F5 F 0.282 0.051 0.457
F6 F 0.291 0.551 0.418
F7 F 0.481 0.229 0.359
```


Entry 4:
Below is La2TiZnO6 at its PBEsol-relaxed geometry, with properties calculated at the SCAN level.

The density of states at the Fermi level is 0.000 states/eV/f.u. For the excess energy over the best structure of this formula in the dataset, the calculation gives 10.3 meV/atom. The value obtained for the formation energy from raw total energies is -3.2891 eV per atom. The theoretical density comes out at 6681 kg/m³.

```
data_La2TiZnO6
_cell_length_a 5.6073
_cell_length_b 5.6073
_cell_length_c 13.3371
_cell_angle_alpha 90.00
_cell_angle_beta 90.00
_cell_angle_gamma 120.00
_space_group_name_H-M_alt 'R -3'
_space_group_IT_number 148
_space_group_name_Hall '-R 3'
loop_
_atom_site_label
_atom_site_type_symbol
_atom_site_fract_x
_atom_site_fract_y
_atom_site_fract_z
La1 La 0.0000 0.0000 0.2502
Ti1 Ti 0.0000 0.0000 0.0000
Zn1 Zn 0.0000 0.0000 0.5000
O1 O 0.0137 0.4287 0.7489
```


Entry 5:
Below is VZnSi2O6 at its PBEsol-relaxed geometry, with properties calculated at the SCAN level.

The density of states at the Fermi level is 0.903 states/eV/f.u. The value obtained for the formation energy from raw total energies is -2.6034 eV per atom. The theoretical density comes out at 4015 kg/m³.

```
data_VZnSi2O6
_cell_length_a 9.665
_cell_length_b 9.159
_cell_length_c 5.365
_cell_angle_alpha 90.00
_cell_angle_beta 110.72
_cell_angle_gamma 90.00
_space_group_name_H-M_alt 'C 1 2/c 1'
_space_group_IT_number 15
loop_
_space_group_symop_operation_xyz
'x,y,z'
'-x,-y,-z'
'-x,y,-z+1/2'
'x,-y,z+1/2'
'x+1/2,y+1/2,z'
'-x+1/2,-y+1/2,-z'
'-x+1/2,y+1/2,-z+1/2'
'x+1/2,-y+1/2,z+1/2'
loop_
_atom_site_label
_atom_site_type_symbol
_atom_site_fract_x
_atom_site_fract_y
_atom_site_fract_z
V1 V 0.000 0.097 0.250
Zn1 Zn 0.000 0.240 0.750
Si1 Si 0.195 0.416 0.225
O1 O 0.118 0.258 0.127
O2 O 0.123 0.082 0.657
O3 O 0.141 0.477 0.463
```


Entry 6:
Below is ScHPd2Pt at its PBEsol-relaxed geometry, with properties calculated at the SCAN level.

The density of states at the Fermi level is 0.468 states/eV/f.u. The value obtained for the final energy is -31.4677 eV/atom. The theoretical density comes out at 11844 kg/m³.

```
data_ScHPd2Pt
_cell_length_a 3.893
_cell_length_b 3.893
_cell_length_c 4.200
_cell_angle_alpha 90.00
_cell_angle_beta 90.00
_cell_angle_gamma 90.00
_space_group_name_H-M_alt 'P 4/m m m'
_space_group_IT_number 123
_space_group_name_Hall '-P 4 2'
loop_
_atom_site_label
_atom_site_type_symbol
_atom_site_fract_x
_atom_site_fract_y
_atom_site_fract_z
Sc1 Sc 0.000 0.000 0.000
H1 H 0.000 0.000 0.500
Pd1 Pd 0.000 0.500 0.500
Pt1 Pt 0.500 0.500 0.000
```


Entry 7:
Below is Y2AlIn at its PBEsol-relaxed geometry, with properties calculated at the SCAN level.

The density of states at the Fermi level is 1.578 states/eV/f.u. Its energy of formation is -2.2 eV/f.u. The theoretical density comes out at 5529 kg/m³.

```
data_Y2AlIn
_cell_length_a 3.617
_cell_length_b 3.617
_cell_length_c 7.338
_cell_angle_alpha 90.00
_cell_angle_beta 90.00
_cell_angle_gamma 90.00
_space_group_name_H-M_alt 'P 4/m m m'
_space_group_IT_number 123
_space_group_name_Hall '-P 4 2'
loop_
_atom_site_label
_atom_site_type_symbol
_atom_site_fract_x
_atom_site_fract_y
_atom_site_fract_z
Y1 Y 0.000 0.000 0.241
Al1 Al 0.500 0.500 0.000
In1 In 0.500 0.500 0.500
```


Entry 8:
Below is Mg2Zn2Se3 at its PBEsol-relaxed geometry, with properties calculated at the SCAN level.

The density of states at the Fermi level is 1.775 states/eV/f.u. The value obtained for the formation energy from raw total energies is -0.6201 eV per atom. The theoretical density comes out at 4122 kg/m³.

```
data_Mg2Zn2Se3
_cell_length_a 3.575
_cell_length_b 26.013
_cell_length_c 3.607
_cell_angle_alpha 90.00
_cell_angle_beta 90.00
_cell_angle_gamma 90.00
_space_group_name_H-M_alt 'C m m m'
_space_group_IT_number 65
_space_group_name_Hall '-C 2 2'
loop_
_atom_site_label
_atom_site_type_symbol
_atom_site_fract_x
_atom_site_fract_y
_atom_site_fract_z
Mg1 Mg 0.000 0.097 0.000
Zn1 Zn 0.000 0.282 0.500
Se1 Se 0.000 0.000 0.000
Se2 Se 0.000 0.374 0.500
```


Entry 9:
Below is AgGePCl2 at its PBEsol-relaxed geometry, with properties calculated at the SCAN level.

The density of states at the Fermi level is 2.173 states/eV/f.u. For the excess energy over the best structure of this formula in the dataset, the calculation gives 0.0 meV/atom. The value obtained for the formation energy from raw total energies is 0.2508 eV per atom. The theoretical density comes out at 4149 kg/m³.

```
data_AgGePCl2
_cell_length_a 4.800
_cell_length_b 4.800
_cell_length_c 4.905
_cell_angle_alpha 90.00
_cell_angle_beta 90.00
_cell_angle_gamma 90.00
_space_group_name_H-M_alt 'P 4/m m m'
_space_group_IT_number 123
_space_group_name_Hall '-P 4 2'
loop_
_atom_site_label
_atom_site_type_symbol
_atom_site_fract_x
_atom_site_fract_y
_atom_site_fract_z
Ag1 Ag 0.000 0.000 0.000
Ge1 Ge 0.500 0.500 0.500
P1 P 0.500 0.500 0.000
Cl1 Cl 0.000 0.500 0.500
```


Entry 10:
Below is CsGe3P at its PBEsol-relaxed geometry, with properties calculated at the SCAN level.

The density of states at the Fermi level is 5.200 states/eV/f.u. Its energy of formation is 11.9 eV/f.u. The theoretical density comes out at 3790 kg/m³.

```
data_CsGe3P
_cell_length_a 5.510
_cell_length_b 5.510
_cell_length_c 5.510
_cell_angle_alpha 90.00
_cell_angle_beta 90.00
_cell_angle_gamma 90.00
_space_group_name_H-M_alt 'P m -3 m'
_space_group_IT_number 221
_space_group_name_Hall '-P 4 2 3'
loop_
_atom_site_label
_atom_site_type_symbol
_atom_site_fract_x
_atom_site_fract_y
_atom_site_fract_z
Cs1 Cs 0.000 0.000 0.000
Ge1 Ge 0.000 0.000 0.500
P1 P 0.500 0.500 0.500
```


Entry 11:
Below is LiTa3Pt at its PBEsol-relaxed geometry, with properties calculated at the SCAN level.

The density of states at the Fermi level is 4.738 states/eV/f.u. Its energy of formation is 4.2 eV/f.u. The theoretical density comes out at 15638 kg/m³.

```
data_LiTa3Pt
_cell_length_a 4.293
_cell_length_b 4.293
_cell_length_c 4.293
_cell_angle_alpha 90.00
_cell_angle_beta 90.00
_cell_angle_gamma 90.00
_space_group_name_H-M_alt 'P m -3 m'
_space_group_IT_number 221
_space_group_name_Hall '-P 4 2 3'
loop_
_atom_site_label
_atom_site_type_symbol
_atom_site_fract_x
_atom_site_fract_y
_atom_site_fract_z
Li1 Li 0.000 0.000 0.000
Ta1 Ta 0.000 0.000 0.500
Pt1 Pt 0.500 0.500 0.500
```


Entry 12:
Below is Hg2SbSe at its PBEsol-relaxed geometry, with properties calculated at the SCAN level.

The density of states at the Fermi level is 2.292 states/eV/f.u. The value obtained for the formation energy from raw total energies is -0.0006 eV per atom. The theoretical density comes out at 8093 kg/m³.

```
data_Hg2SbSe
_cell_length_a 6.354
_cell_length_b 6.354
_cell_length_c 12.235
_cell_angle_alpha 90.00
_cell_angle_beta 90.00
_cell_angle_gamma 90.00
_space_group_name_H-M_alt 'I -4 2 d'
_space_group_IT_number 122
_space_group_name_Hall 'I -4 2bw'
loop_
_atom_site_label
_atom_site_type_symbol
_atom_site_fract_x
_atom_site_fract_y
_atom_site_fract_z
Hg1 Hg 0.240 0.250 0.125
Sb1 Sb 0.000 0.000 0.500
Se1 Se 0.000 0.000 0.000
```